1.
{"formula": "Ga2CoAg", "functional": "PBE-GGA", "state": "optimized geometry", "lattice": [[-1.2804, -2.3010, 1.1351], [2.5464, -1.2954, 0.2463], [0.7876, 2.7942, 6.5525]], "species": ["Ga", "Ga", "Ag", "Co"], "fractional_positions": [[0.0000, 0.0000, 0.2051], [0.0000, 0.0000, 0.7949], [0.5000, 0.5000, 0.5000], [0.5000, 0.5000, 0.0000]], "e_form_mev_per_atom": -93, "m_tot_mub_per_cell": 0.5, "e_above_lowest_polymorph_mev_per_atom": 0, "spacegroup": "No. 123"}


2.
{"formula": "TcMo2Cl", "functional": "PBE-GGA", "state": "optimized geometry", "lattice": [[8.7997, 0.0114, 0.0067], [8.3286, 2.8407, 0.0067], [8.3286, 1.3868, 2.4792]], "species": ["Cl", "Mo", "Mo", "Tc"], "fractional_positions": [[0.2500, 0.2500, 0.2500], [0.5010, 0.5010, 0.5010], [0.9990, 0.9990, 0.9990], [0.7500, 0.7500, 0.7500]], "m_tot_mub_per_cell": 0.0, "e_above_lowest_polymorph_mev_per_atom": 11, "e_form_raw_ev_per_atom": 0.25, "spacegroup": "No. 166"}


3.
{"formula": "CoPtPb2", "functional": "PBE-GGA", "state": "optimized geometry", "lattice": [[4.2292, -0.0548, 0.0402], [2.1662, 3.6328, 0.0402], [2.0650, 1.1553, 6.1044]], "species": ["Co", "Pb", "Pb", "Pt"], "fractional_positions": [[0.7810, 0.7810, 0.6568], [0.2219, 0.2219, 0.3333], [0.0314, 0.0314, 0.9072], [0.4657, 0.4657, 0.6027]], "e_form_mev_per_atom": 120, "m_tot_mub_per_cell": 1.5, "spacegroup": "No. 8"}


4.
{"formula": "TcGe2Se", "functional": "PBE-GGA", "state": "optimized geometry", "lattice": [[-0.3880, -0.7803, -5.7887], [-3.4650, -4.6397, 0.8576], [-6.5067, 0.6829, -2.6159]], "species": ["Ge", "Ge", "Ge", "Ge", "Tc", "Tc", "Se", "Se"], "fractional_positions": [[0.6602, 0.1250, 0.2500], [0.0898, 0.6250, 0.2500], [0.8750, 0.9102, 0.7500], [0.3750, 0.3398, 0.7500], [0.7500, 0.2500, 0.5000], [0.0000, 0.0000, 0.0000], [0.5000, 0.5000, 0.0000], [0.2500, 0.7500, 0.5000]], "m_tot_mub_per_cell": 0.0, "e_form_raw_ev_per_atom": 0.41, "spacegroup": "No. 122"}


5.
{"formula": "Sm3BeGe2", "functional": "PBE-GGA", "state": "optimized geometry", "lattice": [[4.1305, 0.0000, 0.0000], [0.0000, 11.7778, 0.0000], [0.0000, 0.0000, 11.6363]], "species": ["Ge", "Ge", "Ge", "Ge", "Ge", "Ge", "Ge", "Ge", "Be", "Be", "Be", "Be", "Sm", "Sm", "Sm", "Sm", "Sm", "Sm", "Sm", "Sm", "Sm", "Sm", "Sm", "Sm"], "fractional_positions": [[0.2500, 0.6830, 0.4635], [0.2500, 0.0157, 0.3022], [0.7500, 0.9843, 0.6978], [0.7500, 0.3170, 0.5365], [0.7500, 0.5157, 0.1978], [0.2500, 0.4843, 0.8022], [0.2500, 0.8170, 0.9635], [0.7500, 0.1830, 0.0365], [0.2500, 0.1380, 0.1363], [0.7500, 0.6380, 0.3637], [0.2500, 0.3620, 0.6363], [0.7500, 0.8620, 0.8637], [0.2500, 0.1191, 0.5660], [0.7500, 0.9405, 0.1188], [0.2500, 0.0595, 0.8812], [0.7500, 0.5595, 0.6188], [0.2500, 0.7963, 0.7015], [0.7500, 0.2963, 0.7985], [0.2500, 0.3809, 0.0660], [0.7500, 0.8809, 0.4340], [0.7500, 0.6191, 0.9340], [0.2500, 0.4405, 0.3812], [0.2500, 0.7037, 0.2015], [0.7500, 0.2037, 0.2985]], "e_form_mev_per_atom": -642, "m_tot_mub_per_cell": 2.6, "spacegroup": "No. 62"}


6.
{"formula": "Tb3Ge", "functional": "PBE-GGA", "state": "optimized geometry", "lattice": [[-3.2328, 1.8254, -1.5487], [-2.2656, -3.1761, 0.9859], [-1.4550, 3.1233, 6.7184]], "species": ["Tb", "Tb", "Tb", "Ge"], "fractional_positions": [[0.0000, 0.5000, 0.4360], [0.5000, 0.5000, 0.0832], [0.5000, 0.0000, 0.7305], [0.0000, 0.0000, 0.0836]], "e_form_mev_per_atom": -151, "m_tot_mub_per_cell": 0.6, "spacegroup": "No. 115"}


7.
{"formula": "FeAsP", "functional": "PBE-GGA", "state": "optimized geometry", "lattice": [[3.3358, -5.7778, 0.0000], [3.3358, 5.7778, 0.0000], [0.0000, 0.0000, 3.4921]], "species": ["P", "P", "P", "Fe", "Fe", "Fe", "As", "As", "As"], "fractional_positions": [[0.3684, 0.0000, 0.5000], [0.6316, 0.6316, 0.5000], [0.0000, 0.3684, 0.5000], [0.2580, 0.2580, 0.0000], [0.7420, 0.0000, 0.0000], [0.0000, 0.7420, 0.0000], [0.6667, 0.3333, 0.0000], [0.3333, 0.6667, 0.0000], [0.0000, 0.0000, 0.5000]], "e_form_mev_per_atom": 431, "m_tot_mub_per_cell": 5.9, "spacegroup": "No. 189"}


8.
{"formula": "TbPmPb2", "functional": "PBE-GGA", "state": "optimized geometry", "lattice": [[-3.0518, -3.2862, 0.9345], [2.1439, -2.7859, -2.7953], [4.9083, -0.2362, 3.9998]], "species": ["Pb", "Pb", "Tb", "Pm"], "fractional_positions": [[0.9851, 0.0000, 0.5072], [0.1807, 0.5000, 0.9024], [0.7126, 0.0000, 0.9661], [0.4525, 0.5000, 0.4423]], "e_form_mev_per_atom": -526, "m_tot_mub_per_cell": 0.0, "spacegroup": "No. 6"}


9.
{"formula": "Hf4RuRh2", "functional": "PBE-GGA", "state": "optimized geometry", "lattice": [[-4.9705, -2.5608, -0.0706], [3.3775, -2.2822, -3.8279], [2.3732, -0.5772, 5.0302]], "species": ["Hf", "Hf", "Hf", "Hf", "Rh", "Rh", "Ru"], "fractional_positions": [[0.0000, 0.5000, 0.0000], [0.5000, 0.5000, 0.5000], [0.0000, 0.0000, 0.5000], [0.5000, 0.0000, 0.0000], [0.5000, 0.5000, 0.0000], [0.5000, 0.0000, 0.5000], [0.0000, 0.0000, 0.0000]], "e_form_mev_per_atom": -623, "m_tot_mub_per_cell": 0.0, "spacegroup": "No. 139"}


10.
{"formula": "IrCl3", "functional": "PBE-GGA", "state": "optimized geometry", "lattice": [[-8.5679, 1.2790, 1.1348], [-7.3037, 1.6688, 4.4948], [-7.1941, 4.4472, 2.1908]], "species": ["Cl", "Cl", "Cl", "Ir"], "fractional_positions": [[0.0000, 0.0000, 0.0000], [0.1173, 0.1173, 0.1173], [0.8827, 0.8827, 0.8827], [0.5000, 0.5000, 0.5000]], "m_tot_mub_per_cell": 0.3, "e_form_raw_ev_per_atom": 0.26, "spacegroup": "No. 166"}


11.
{"formula": "La3TbSmHo", "functional": "PBE-GGA", "state": "optimized geometry", "lattice": [[-0.2602, 0.8558, 3.5550], [-5.7972, -9.1550, 1.7795], [10.6912, -2.1012, 1.2884]], "species": ["Sm", "Sm", "Tb", "Tb", "La", "La", "La", "La", "La", "La", "Ho", "Ho"], "fractional_positions": [[0.7500, 0.3716, 0.8727], [0.2500, 0.6284, 0.1273], [0.2500, 0.1206, 0.2947], [0.7500, 0.8794, 0.7053], [0.7500, 0.8766, 0.0460], [0.7500, 0.3757, 0.2074], [0.2500, 0.1234, 0.9540], [0.2500, 0.6296, 0.4589], [0.7500, 0.3704, 0.5411], [0.2500, 0.6243, 0.7926], [0.2500, 0.1201, 0.6223], [0.7500, 0.8799, 0.3777]], "e_form_mev_per_atom": 23, "m_tot_mub_per_cell": 0.0, "spacegroup": "No. 11"}


12.
{"formula": "FeTePb2", "functional": "PBE-GGA", "state": "optimized geometry", "lattice": [[-1.8235, -1.7095, 2.1041], [2.1898, 0.5657, 2.3575], [-4.8015, 8.1917, 2.4941]], "species": ["Fe", "Pb", "Pb", "Te"], "fractional_positions": [[0.5000, 0.5000, 0.7500], [0.0000, 0.0000, 0.9411], [0.0000, 0.0000, 0.5589], [0.5000, 0.5000, 0.2500]], "m_tot_mub_per_cell": 2.4, "e_form_raw_ev_per_atom": 0.37, "spacegroup": "No. 123"}


13.
{"formula": "V2CrPd", "functional": "PBE-GGA", "state": "optimized geometry", "lattice": [[3.6164, 0.0000, 0.0000], [0.0000, 3.6164, 0.0000], [1.8082, 1.8082, 9.1671]], "species": ["Pd", "Pd", "V", "V", "V", "V", "Cr", "Cr"], "fractional_positions": [[0.7500, 0.2500, 0.5000], [0.0000, 0.0000, 0.0000], [0.6130, 0.1250, 0.2500], [0.3750, 0.3870, 0.7500], [0.8750, 0.8630, 0.7500], [0.1370, 0.6250, 0.2500], [0.2500, 0.7500, 0.5000], [0.5000, 0.5000, 0.0000]], "e_form_mev_per_atom": 513, "m_tot_mub_per_cell": 4.4, "spacegroup": "No. 122"}


14.
{"formula": "BeCu4W", "functional": "PBE-GGA", "state": "optimized geometry", "lattice": [[0.0000, 3.3537, 3.3537], [3.3537, 0.0000, 3.3537], [3.3537, 3.3537, 0.0000]], "species": ["W", "Cu", "Cu", "Cu", "Cu", "Be"], "fractional_positions": [[0.2500, 0.2500, 0.2500], [0.1243, 0.6252, 0.6252], [0.6252, 0.6252, 0.1243], [0.6252, 0.1243, 0.6252], [0.6252, 0.6252, 0.6252], [0.0000, 0.0000, 0.0000]], "e_form_mev_per_atom": 464, "m_tot_mub_per_cell": 1.7, "spacegroup": "No. 216"}


15.
{"formula": "NpAlOs2", "functional": "PBE-GGA", "state": "optimized geometry", "lattice": [[-0.2072, 0.5304, -2.9726], [-2.6418, -1.4750, -0.0790], [-3.3509, 5.9325, 1.2920]], "species": ["Os", "Os", "Np", "Al"], "fractional_positions": [[0.0000, 0.0000, 0.7764], [0.0000, 0.0000, 0.2236], [0.5000, 0.5000, 0.5000], [0.5000, 0.5000, 0.0000]], "e_form_mev_per_atom": -80, "m_tot_mub_per_cell": 0.9, "e_above_lowest_polymorph_mev_per_atom": 4, "spacegroup": "No. 123"}


16.
{"formula": "TbY2Au", "functional": "PBE-GGA", "state": "optimized geometry", "lattice": [[3.6547, 0.0000, 0.0000], [1.8273, 3.1650, 0.0000], [1.8273, 1.0550, 10.8855]], "species": ["Au", "Y", "Y", "Tb"], "fractional_positions": [[0.5000, 0.5000, 0.5000], [0.1043, 0.1043, 0.6871], [0.8957, 0.8957, 0.3129], [0.0000, 0.0000, 0.0000]], "e_form_mev_per_atom": -56, "m_tot_mub_per_cell": 0.7, "e_above_lowest_polymorph_mev_per_atom": 396, "spacegroup": "No. 166"}


17.
{"formula": "Ti2Re2P", "functional": "PBE-GGA", "state": "optimized geometry", "lattice": [[-3.0901, -0.5952, 1.4387], [0.5938, -3.4062, -0.1338], [1.7685, -1.7336, 7.2426]], "species": ["Re", "Re", "P", "Ti", "Ti"], "fractional_positions": [[0.7500, 0.2500, 0.5000], [0.2500, 0.7500, 0.5000], [0.0000, 0.0000, 0.0000], [0.4074, 0.4074, 0.1851], [0.5926, 0.5926, 0.8149]], "e_form_mev_per_atom": 93, "m_tot_mub_per_cell": 1.4, "e_above_lowest_polymorph_mev_per_atom": 0, "spacegroup": "No. 139"}


18.
{"formula": "CrNiBrN2", "functional": "PBE-GGA", "state": "optimized geometry", "lattice": [[3.5449, 0.0000, 0.0000], [0.0000, 6.1338, 0.0000], [0.0000, 0.0000, 3.5449]], "species": ["Ni", "Cr", "N", "N", "Br"], "fractional_positions": [[0.0000, 0.0000, 0.0000], [0.5000, 0.5000, 0.5000], [0.5000, 0.0000, 0.0000], [0.0000, 0.0000, 0.5000], [0.0000, 0.5000, 0.0000]], "m_tot_mub_per_cell": 0.2, "e_form_raw_ev_per_atom": 1.59, "spacegroup": "No. 123"}